First-principles (GGA-PBE) data for a geometry-optimized Tm3CuSe2 structure, as listed in Alexandria.

Cell and atoms, written as CIF:
```
data_Tm3CuSe2
_cell_length_a 6.8703
_cell_length_b 6.8703
_cell_length_c 7.1368
_cell_angle_alpha 99.25
_cell_angle_beta 99.25
_cell_angle_gamma 120.23
_symmetry_space_group_name_H-M 'P 1'
_symmetry_Int_Tables_number 1
loop_
_symmetry_equiv_pos_as_xyz
'x,y,z'
loop_
_atom_site_label
_atom_site_type_symbol
_atom_site_fract_x
_atom_site_fract_y
_atom_site_fract_z
Tm1 Tm 0.0772 0.4191 0.7597
Tm2 Tm 0.2368 0.2368 0.2384
Tm3 Tm 0.4191 0.0772 0.7597
Tm4 Tm 0.5809 0.9228 0.2403
Tm5 Tm 0.7632 0.7632 0.7616
Tm6 Tm 0.9228 0.5809 0.2403
Cu1 Cu 0.1684 0.8316 0.0000
Cu2 Cu 0.8316 0.1684 0.0000
Se1 Se 0.0000 0.0000 0.5000
Se2 Se 0.3396 0.6604 0.5000
Se3 Se 0.5000 0.5000 0.0000
Se4 Se 0.6604 0.3396 0.5000
```

Crystal system ... monoclinic
ρ ... 8.78 g cm⁻³
Total moment ... 0.0 μB per formula unit
E_form (uncorrected) ... -1.19 eV per atom
Total energy ... -63.190 eV/cell
V ... 275.5 Å³/cell